TbErTl: optimized geometry, PBE.

Output
Energy above the most stable polymorph in this dataset ... 28 meV/atom
Uncorrected energy ... -4.08 eV/atom
Total magnetization ... 0.00 μB per formula unit
Density ... 10.12 g/cm3
Formation energy ... -228.4 meV per atom

Unit cell a=7.2942 b=7.2942 c=7.2942 alpha=151.70 beta=151.70 gamma=40.45
Positions (direct):
Tb 0.0000 0.0000 0.0000
Er 0.6839 0.6839 0.0000
Tl 0.3400 0.3400 0.0000